Model A:
Here is a relaxed AlTlP2 crystal from Alexandria. Energies are from PBE.

## Properties
N(E_F)   1.3 states/eV/cell
Total magnetic moment   0.00 μB per cell
Space-group type   Amm2, No. 38

Lattice parameters (Å, degrees): 6.5232 6.5232 5.0611 140.85 140.85 58.71
With the nearest neighbours (Å) after each atom.
Fractional coordinates of all 4 atoms:
P1 0.8563 0.1437 0.0000  2 Al 2.55, 3 Tl 2.62-2.66
P2 0.2883 0.7117 0.5000  3 Al 2.42-2.71
Tl1 0.4460 0.5540 0.0000  5 P 2.62-2.72
Al1 0.9094 0.0906 0.5000  5 P 2.42-2.71

Model B:
Here is a relaxed AlTlP2 crystal from Alexandria. Energies are from PBE.

## Properties
N(E_F)   1.5 states/eV/cell
Total magnetic moment   0.00 μB per cell
Space-group type   Cm, No. 8

Lattice parameters (Å, degrees): 4.9287 4.9287 6.9642 59.09 59.09 38.27
With the nearest neighbours (Å) after each atom.
Fractional coordinates of all 4 atoms:
P1 0.0244 0.0244 0.8993  2 P 2.32, 2 Al 2.59
P2 0.3288 0.3288 0.1373  2 P 2.32, 2 Al 2.58
Al1 0.7094 0.7094 0.9688  5 P 2.58-2.70
Tl1 0.4374 0.4374 0.4946  3 Al 3.12-3.23, 2 P 3.15-3.31, 2 Tl 3.23

The structure with the least stability is model B.

Model A:
Here is a relaxed AlTlP2 crystal from Alexandria. Energies are from PBE.

## Properties
N(E_F)   2.1 states/eV/cell
Total magnetic moment   0.00 μB per cell
Space-group type   Cmmm, No. 65

Lattice parameters (Å, degrees): 4.6554 4.6554 3.6014 90.00 90.00 98.93
With the nearest neighbours (Å) after each atom.
Fractional coordinates of all 4 atoms:
P1 0.5000 0.5000 0.0000  4 Al 2.94, 4 Tl 2.94, 2 P 3.03
P2 0.0000 0.0000 0.0000  4 Tl 2.94, 4 Al 2.94, 2 P 3.03
Tl1 0.5000 0.0000 0.5000  8 P 2.94, 2 Al 3.03
Al1 0.0000 0.5000 0.5000  8 P 2.94, 2 Tl 3.03

Model B:
Here is a relaxed AlTlP2 crystal from Alexandria. Energies are from PBE.

## Properties
N(E_F)   2.1 states/eV/cell
Total magnetic moment   0.00 μB per cell
Space-group type   Immm, No. 71

Lattice parameters (Å, degrees): 5.2805 5.2805 5.2805 137.83 107.75 87.36
With the nearest neighbours (Å) after each atom.
Fractional coordinates of all 4 atoms:
P1 0.4382 0.4382 0.0000  2 Al 2.38
P2 0.0618 0.0618 0.0000  2 Al 2.38
Al1 0.2500 0.7500 0.5000  4 P 2.38
Tl1 0.7500 0.2500 0.5000  4 P 3.05

Model C:
Here is a relaxed AlTlP2 crystal from Alexandria. Energies are from PBE.

## Properties
N(E_F)   2.0 states/eV/cell
Total magnetic moment   0.00 μB per cell
Space-group type   R-3m, No. 166

Lattice parameters (Å, degrees): 6.9677 6.9677 6.9677 31.02 31.02 31.02
With the nearest neighbours (Å) after each atom.
Fractional coordinates of all 4 atoms:
P1 0.4831 0.4831 0.4831  3 Al 2.52
P2 0.0169 0.0169 0.0169  3 Al 2.52
Tl1 0.2500 0.2500 0.2500  6 P 2.93
Al1 0.7500 0.7500 0.7500  6 P 2.52

The structure with the least stability is model A.

Model A:
Here is a relaxed AlTlP2 crystal from Alexandria. Energies are from PBE.

## Properties
N(E_F)   2.3 states/eV/cell
Total magnetic moment   0.00 μB per cell
Space-group type   F-43m, No. 216

Lattice parameters (Å, degrees): 4.7911 4.7911 4.7911 60.00 60.00 60.00
With the nearest neighbours (Å) after each atom.
Fractional coordinates of all 4 atoms:
Al1 0.5000 0.5000 0.5000  4 P 2.93, 4 Tl 2.93
P1 0.0000 0.0000 0.0000  4 Tl 2.93, 4 P 2.93
P2 0.2500 0.2500 0.2500  4 Al 2.93, 4 P 2.93
Tl1 0.7500 0.7500 0.7500  4 Al 2.93, 4 P 2.93

Model B:
Here is a relaxed AlTlP2 crystal from Alexandria. Energies are from PBE.

## Properties
N(E_F)   1.1 states/eV/cell
Total magnetic moment   0.00 μB per cell
Space-group type   P4mm, No. 99

Lattice parameters (Å, degrees): 3.3523 3.3523 7.5054 90.00 90.00 90.00
With the nearest neighbours (Å) after each atom.
Fractional coordinates of all 4 atoms:
P1 0.0000 0.0000 0.0605  4 P 2.42
P2 0.5000 0.5000 0.1236  1 Al 2.41, 4 P 2.42
Al1 0.5000 0.5000 0.8028  1 P 2.41
Tl1 0.0000 0.0000 0.5130  4 Al 3.22, 4 Tl 3.35, 1 P 3.40

Model C:
Here is a relaxed AlTlP2 crystal from Alexandria. Energies are from PBE.

## Properties
N(E_F)   2.0 states/eV/cell
Total magnetic moment   0.00 μB per cell
Space-group type   Fm-3m, No. 225

Lattice parameters (Å, degrees): 4.7635 4.7635 4.7635 60.00 60.00 60.00
With the nearest neighbours (Å) after each atom.
Fractional coordinates of all 4 atoms:
P1 0.2500 0.2500 0.2500  4 Tl 2.92, 4 Al 2.92
P2 0.7500 0.7500 0.7500  4 Tl 2.92, 4 Al 2.92
Tl1 0.5000 0.5000 0.5000  8 P 2.92
Al1 0.0000 0.0000 0.0000  8 P 2.92

Model D:
Here is a relaxed AlTlP2 crystal from Alexandria. Energies are from PBE.

## Properties
N(E_F)   1.5 states/eV/cell
Total magnetic moment   0.00 μB per cell
Space-group type   Pmmm, No. 47

Lattice parameters (Å, degrees): 3.6279 4.6134 4.6516 90.00 90.00 90.00
With the nearest neighbours (Å) after each atom.
Fractional coordinates of all 4 atoms:
Tl1 0.5000 0.0000 0.5000  4 Al 2.93, 8 P 2.95-3.28
P1 0.5000 0.5000 0.0000  4 P 2.93, 4 Al 2.95, 4 Tl 3.28
P2 0.0000 0.0000 0.0000  4 P 2.93, 4 Tl 2.95, 4 Al 3.28
Al1 0.0000 0.5000 0.5000  4 Tl 2.93, 8 P 2.95-3.28

The structure with the least stability is model A.

Model A:
Here is a relaxed AlTlP2 crystal from Alexandria. Energies are from PBE.

## Properties
N(E_F)   1.5 states/eV/cell
Total magnetic moment   0.00 μB per cell
Space-group type   P2/m, No. 10

Lattice parameters (Å, degrees): 3.5729 3.9758 6.5842 68.37 90.00 90.00
With the nearest neighbours (Å) after each atom.
Fractional coordinates of all 4 atoms:
P1 0.0000 0.0152 0.9057  1 P 2.21
P2 0.0000 0.4848 0.5943  1 P 2.21
Al1 0.5000 0.7500 0.7500  4 P 2.48
Tl1 0.5000 0.2500 0.2500  2 Al 3.16, 4 P 3.28

Model B:
Here is a relaxed AlTlP2 crystal from Alexandria. Energies are from PBE.

## Properties
N(E_F)   1.5 states/eV/cell
Total magnetic moment   0.00 μB per cell
Space-group type   P4mm, No. 99

Lattice parameters (Å, degrees): 3.6200 3.6194 6.4498 90.00 90.00 90.00
With the nearest neighbours (Å) after each atom.
Fractional coordinates of all 4 atoms:
Tl1 0.0000 0.0000 0.4374  5 P 2.64-2.72
P1 0.5000 0.5000 0.2936  1 Al 2.39
P2 0.0000 0.0000 0.8461  4 Al 2.61, 1 Tl 2.64
Al1 0.5000 0.5000 0.9229  5 P 2.39-2.61

The structure with the least stability is model B.

Model A:
Here is a relaxed Al2TlP crystal from Alexandria. Energies are from PBE.

## Properties
N(E_F)   1.2 states/eV/cell
Total magnetic moment   0.00 μB per cell
Space-group type   C2/m, No. 12

Lattice parameters (Å, degrees): 5.9845 5.9845 3.0297 75.36 75.36 120.52
With the nearest neighbours (Å) after each atom.
Fractional coordinates of all 4 atoms:
Al1 0.0000 0.0000 0.0000  6 Al 2.97-3.03, 2 Tl 2.99, 2 P 2.99
Al2 0.5000 0.5000 0.0000  6 Al 2.97-3.03, 2 P 2.99, 2 Tl 2.99
P1 0.5000 0.0000 0.5000  4 Tl 2.97, 4 Al 2.99, 2 P 3.03
Tl1 0.0000 0.5000 0.5000  4 P 2.97, 4 Al 2.99, 2 Tl 3.03

Model B:
Here is a relaxed Al2TlP crystal from Alexandria. Energies are from PBE.

## Properties
N(E_F)   1.7 states/eV/cell
Total magnetic moment   0.00 μB per cell
Space-group type   I4/mmm, No. 139

Lattice parameters (Å, degrees): 4.7143 4.7143 4.7143 114.49 114.49 99.84
With the nearest neighbours (Å) after each atom.
Fractional coordinates of all 4 atoms:
Al1 0.0000 0.0000 0.0000  4 P 2.97, 4 Tl 2.97, 2 Al 3.04
Al2 0.5000 0.5000 0.0000  4 Tl 2.97, 4 P 2.97, 2 Al 3.04
P1 0.2500 0.7500 0.5000  8 Al 2.97, 2 Tl 3.04
Tl1 0.7500 0.2500 0.5000  8 Al 2.97, 2 P 3.04

Model C:
Here is a relaxed Al2TlP crystal from Alexandria. Energies are from PBE.

## Properties
N(E_F)   1.6 states/eV/cell
Total magnetic moment   0.00 μB per cell
Space-group type   P2/m, No. 10

Lattice parameters (Å, degrees): 3.3318 3.2533 7.9707 67.49 90.00 90.00
With the nearest neighbours (Å) after each atom.
Fractional coordinates of all 4 atoms:
Al1 0.0000 0.9222 0.0689  1 Al 2.67, 4 P 2.68-2.69
Al2 0.0000 0.5778 0.4311  1 Al 2.67, 4 P 2.68-2.69
P1 0.5000 0.2500 0.2500  8 Al 2.68-2.69
Tl1 0.5000 0.7500 0.7500  4 Tl 3.25-3.33, 8 Al 3.26-3.35

The structure with the least stability is model A.

Model A:
Here is a relaxed Al2TlP crystal from Alexandria. Energies are from PBE.

## Properties
N(E_F)   1.4 states/eV/cell
Total magnetic moment   0.00 μB per cell
Space-group type   Cm, No. 8

Lattice parameters (Å, degrees): 5.6890 5.6890 5.3466 79.74 79.74 35.78
With the nearest neighbours (Å) after each atom.
Fractional coordinates of all 4 atoms:
Tl1 0.2176 0.2176 0.2299  1 P 2.94, 4 Al 2.97-3.19
Al1 0.0734 0.0734 0.8087  2 P 2.41
Al2 0.7855 0.7855 0.6775  2 P 2.43
P1 0.4235 0.4235 0.7839  4 Al 2.41-2.43

Model B:
Here is a relaxed Al2TlP crystal from Alexandria. Energies are from PBE.

## Properties
N(E_F)   1.8 states/eV/cell
Total magnetic moment   0.00 μB per cell
Space-group type   I-4m2, No. 119

Lattice parameters (Å, degrees): 6.0760 6.0760 6.0760 142.65 142.65 53.86
With the nearest neighbours (Å) after each atom.
Fractional coordinates of all 4 atoms:
Al1 0.2500 0.7500 0.5000  4 Tl 2.75
Al2 0.0000 0.0000 0.0000  4 P 2.75
P1 0.5000 0.5000 0.0000  4 Al 2.75
Tl1 0.7500 0.2500 0.5000  4 Al 2.75

The structure with the least stability is model B.